A relaxed structure of InPbSI. Source: the Alexandria database, functional PBE.

Calculated volume: 406.0 Å³ per cell
Total DFT energy (no corrections): -3.4828 eV per atom
Total moment: 0.0000 μB/atom

a b c (Å): 4.3535 4.3535 24.7263
angles (deg): 90.00 90.00 120.00
Space group R3m (No. 160, hexagonal axes)
Inequivalent atoms, fractional coordinates:
In: 0.0000 0.0000 0.0000 (multiplicity 3)
Pb: 0.0000 0.0000 0.2000 (multiplicity 3)
S: 0.0000 0.0000 0.5948 (multiplicity 3)
I: 0.0000 0.0000 0.7764 (multiplicity 3)